Computed, not measured: an optimized crystal structure of SmTh2Pd2 at the PBE level of DFT.

The energy above the most stable polymorph in this dataset comes out at 7.9 kJ/mol of atoms. The crystal system is orthorhombic. As for the formation energy: -519 meV/atom. The value obtained for the total energy is -65.08 eV/cell.

The structure belongs to space group Immm (No. 71); the cell edges are 3.885, 6.984 and 9.785 Å and the angles 90.00°, 90.00° and 90.00°. The asymmetric unit holds Sm at (0.000, 0.000, 0.000), Th at (0.000, 0.500, 0.196) and Pd at (0.000, 0.198, 0.500).

Computed, not measured: an optimized crystal structure of Ta3AgIr at the PBE level of DFT.

The energy above the most stable polymorph in this dataset comes out at 104.1 kJ/mol of atoms. The crystal system is cubic. As for the formation energy: 2167 meV/atom. The value obtained for the total energy is -36.43 eV/cell.

The structure belongs to space group Pm-3m (No. 221); the cell edges are 4.789, 4.789 and 4.789 Å and the angles 90.00°, 90.00° and 90.00°. The asymmetric unit holds Ta at (0.000, 0.000, 0.500), Ag at (0.000, 0.000, 0.000) and Ir at (0.500, 0.500, 0.500).

Computed, not measured: an optimized crystal structure of MnSI2 at the PBE level of DFT.

The energy above the most stable polymorph in this dataset comes out at 0.0 kJ/mol of atoms. The crystal system is cubic. The formation energy from raw total energies comes out at 0.602 eV per atom. The value obtained for the total energy is -55.96 eV/cell.

The structure belongs to space group Fm-3m (No. 225); the cell edges are 7.385, 7.385 and 7.385 Å and the angles 90.00°, 90.00° and 90.00°. The asymmetric unit holds Mn at (0.000, 0.000, 0.000), S at (0.000, 0.000, 0.500) and I at (0.250, 0.250, 0.250).

Computed, not measured: an optimized crystal structure of Tb2Dy3Tl at the PBE level of DFT.

The energy above the most stable polymorph in this dataset comes out at 33.4 kJ/mol of atoms. The crystal system is orthorhombic. As for the formation energy: 239 meV/atom. The value obtained for the total energy is -47.99 eV/cell.

The structure belongs to space group Immm (No. 71); the cell edges are 5.759, 6.424 and 10.163 Å and the angles 90.00°, 90.00° and 90.00°. The asymmetric unit holds Tb at (0.000, 0.000, 0.183), Dy at (0.000, 0.500, 0.156), Dy at (0.000, 0.500, 0.500) and Tl at (0.000, 0.000, 0.500).

Computed, not measured: an optimized crystal structure of UZn4Ni15 at the PBE level of DFT.

The crystal system is tetragonal. As for the formation energy: -144 meV/atom. The value obtained for the total energy is -105.98 eV/cell.

The structure belongs to space group P4/mmm (No. 123); the cell edges are 3.684, 3.684 and 17.592 Å and the angles 90.00°, 90.00° and 90.00°. The asymmetric unit holds U at (0.000, 0.000, 0.000), Zn at (0.000, 0.000, 0.209), Zn at (0.000, 0.000, 0.402), Ni at (0.000, 0.500, 0.106), Ni at (0.000, 0.500, 0.305), Ni at (0.000, 0.500, 0.500), Ni at (0.500, 0.500, 0.000), Ni at (0.500, 0.500, 0.208) and Ni at (0.500, 0.500, 0.403).

Computed, not measured: an optimized crystal structure of K6NaTl2 at the PBE level of DFT.

The crystal system is orthorhombic. As for the formation energy: -30 meV/atom. The value obtained for the total energy is -51.62 eV/cell.

The structure belongs to space group Immm (No. 71); the cell edges are 11.551, 12.129 and 13.566 Å and the angles 90.00°, 90.00° and 90.00°. The asymmetric unit holds K at (0.000, 0.199, 0.181), K at (0.192, 0.219, 0.500), K at (0.207, 0.500, 0.256), Na at (0.000, 0.500, 0.000), Na at (0.000, 0.500, 0.500), Tl at (0.000, 0.000, 0.388) and Tl at (0.137, 0.000, 0.000).

Computed, not measured: an optimized crystal structure of Pu2RuPt at the PBE level of DFT.

The crystal system is trigonal. As for the formation energy: -313 meV/atom. The value obtained for the total energy is -135.70 eV/cell.

The structure belongs to space group R-3m (No. 166, hexagonal axes); the cell edges are 3.9460, 3.9460 and 19.9092 Å and the angles 90.00°, 90.00° and 120.00°. The asymmetric unit holds Pu at (0.0000, 0.0000, 0.2448), Ru at (0.0000, 0.0000, 0.5000) and Pt at (0.0000, 0.0000, 0.0000).

Computed, not measured: an optimized crystal structure of Na2InPS4 at the PBE level of DFT.

The crystal system is tetragonal. The formation energy from raw total energies comes out at -0.531 eV per atom. The value obtained for the total energy is -63.09 eV/cell.

The structure belongs to space group I-4 (No. 82); the cell edges are 6.488, 6.488 and 10.000 Å and the angles 90.00°, 90.00° and 90.00°. The asymmetric unit holds Na at (0.000, 0.000, 0.000), Na at (0.000, 0.500, 0.250), In at (0.000, 0.000, 0.500), P at (0.000, 0.500, 0.750) and S at (0.203, 0.745, 0.633).